Computed, not measured: a geometry-optimized Al3BiS structure at the PBEsol level of DFT.

Cell lengths 4.7900, 4.7900, 4.7900 Å; angles 90.00, 90.00, 90.00 degrees
Atoms (fractional coordinates):
Al 0.0000 0.0000 0.5000
Al 0.0000 0.5000 0.0000
Al 0.5000 0.0000 0.0000
Bi 0.5000 0.5000 0.5000
S 0.0000 0.0000 0.0000

Summary:
DFT total energy: -19.802 eV/cell
formation energy without anion corrections: 0.228 eV per atom


Computed, not measured: a geometry-optimized BeInRe2 structure at the PBEsol level of DFT.

Cell lengths 5.1792, 8.3041, 2.7833 Å; angles 90.00, 90.00, 90.00 degrees
Atoms (fractional coordinates):
Be 0.0000 0.0000 0.0000
Be 0.5000 0.5000 0.0000
In 0.0000 0.5000 0.0000
In 0.5000 0.0000 0.0000
Re 0.2500 0.2500 0.5000
Re 0.2500 0.7500 0.5000
Re 0.7500 0.2500 0.5000
Re 0.7500 0.7500 0.5000

Summary:
energy above the lowest structure with this stoichiometry: 0.3398 eV per atom
DFT total energy: -61.530 eV/cell
energy relative to the elements: 0.720 eV per atom


Computed, not measured: a geometry-optimized La3Y structure at the PBEsol level of DFT.

Cell lengths 7.1715, 10.1499, 3.6259 Å; angles 90.00, 90.00, 90.00 degrees
Atoms (fractional coordinates):
La 0.0000 0.0000 0.0000
La 0.2500 0.2500 0.5000
La 0.2500 0.7500 0.5000
La 0.5000 0.5000 0.0000
La 0.7500 0.2500 0.5000
La 0.7500 0.7500 0.5000
Y 0.0000 0.5000 0.0000
Y 0.5000 0.0000 0.0000

Summary:
DFT total energy: -45.688 eV/cell
energy relative to the elements: 0.004 eV per atom


no.,M_tot (μB/cell)
1,0.0
2,0.0
3,0.0